Record 1
A relaxed structure of LaHgW, computed with PBE.

Cell lengths 3.033, 3.033, 8.310 Å; angles 90.00, 90.00, 120.00 degrees
Fractional positions:
1 Hg 0.000 0.000 0.979
2 La 0.667 0.333 0.340
3 W 0.333 0.667 0.680

Results
**Calculated total energy**: -5.361 eV/atom
**Formation enthalpy at 0 K**: 0.700 eV per atom
**Space group**: P3m1

---

Record 2
A relaxed structure of LaZnRe2, computed with PBE.

Cell lengths 5.400, 5.400, 5.400 Å; angles 135.66, 135.66, 64.51 degrees
Fractional positions:
1 La 0.750 0.250 0.500
2 Re 0.000 0.000 0.000
3 Re 0.500 0.500 0.000
4 Zn 0.250 0.750 0.500

Results
**Calculated total energy**: -6.959 eV/atom
**Formation enthalpy at 0 K**: 0.815 eV per atom
**Space group**: I4/mmm

---

Record 3
A relaxed structure of ScCoTcNi2, computed with PBE.

Cell lengths 4.327, 4.331, 4.327 Å; angles 90.00, 90.00, 90.00 degrees
Last column: magnetic moment on the atom in μB.
Fractional positions:
1 Sc 0.000 0.000 0.000  -0.20
2 Ni 0.000 0.000 0.500  0.19
3 Ni 0.500 0.000 0.000  0.38
4 Co 0.000 0.500 0.000  1.25
5 Tc 0.500 0.500 0.500  2.69

Results
**Calculated total energy**: -5.767 eV/atom
**Formation enthalpy at 0 K**: 1.306 eV per atom
**Space group**: P4/mmm

---

Number 1: size of the total moment 0.0000 μB per atom. Number 2: size of the total moment 0.0002 μB per atom. Number 3: size of the total moment 0.9103 μB per atom.